Below is Ta2RuW at its PBEsol-relaxed geometry, with properties calculated at the SCAN level.

The structure belongs to space group F-43m (No. 216); the cell edges are 6.334, 6.334 and 6.334 Å and the angles 90.00°, 90.00° and 90.00°. The distinct sites, in fractional coordinates, are Ta at (0.000, 0.000, 0.000), Ta at (0.250, 0.250, 0.250), Ru at (0.000, 0.000, 0.500) and W at (0.250, 0.250, 0.750).

For the energy of formation, the calculation gives -3.0 kcal/mol of atoms.